Model 1:
# V2CdSi2 (PBE-GGA, optimized geometry)
data_V2CdSi2
_symmetry_space_group_name_H-M 'I 4/m m m'
_symmetry_Int_Tables_number 139
_symmetry_space_group_name_Hall '-I 4 2'
_cell_length_a 3.932
_cell_length_b 3.932
_cell_length_c 10.635
_cell_angle_alpha 90.00
_cell_angle_beta 90.00
_cell_angle_gamma 90.00
loop_
_atom_site_label
_atom_site_type_symbol
_atom_site_fract_x
_atom_site_fract_y
_atom_site_fract_z
V1 V 0.000 0.500 0.250
Cd1 Cd 0.000 0.000 0.000
Si1 Si 0.000 0.000 0.390
# Size of the total moment ... 0.09 μB per atom

---

Model 2:
# V2CdSi2 (PBE-GGA, optimized geometry)
data_V2CdSi2
_symmetry_space_group_name_H-M 'P 4/m b m'
_symmetry_Int_Tables_number 127
_symmetry_space_group_name_Hall '-P 4 2ab'
_cell_length_a 6.749
_cell_length_b 6.749
_cell_length_c 3.210
_cell_angle_alpha 90.00
_cell_angle_beta 90.00
_cell_angle_gamma 90.00
loop_
_atom_site_label
_atom_site_type_symbol
_atom_site_fract_x
_atom_site_fract_y
_atom_site_fract_z
V1 V 0.164 0.336 0.000
Cd1 Cd 0.000 0.000 0.500
Si1 Si 0.126 0.626 0.500
# Size of the total moment ... 0.07 μB per atom

---

Model 3:
# V2CdSi2 (PBE-GGA, optimized geometry)
data_V2CdSi2
_symmetry_space_group_name_H-M 'P 4/m b m'
_symmetry_Int_Tables_number 127
_symmetry_space_group_name_Hall '-P 4 2ab'
_cell_length_a 7.388
_cell_length_b 7.388
_cell_length_c 2.766
_cell_angle_alpha 90.00
_cell_angle_beta 90.00
_cell_angle_gamma 90.00
loop_
_atom_site_label
_atom_site_type_symbol
_atom_site_fract_x
_atom_site_fract_y
_atom_site_fract_z
V1 V 0.118 0.382 0.000
Cd1 Cd 0.000 0.000 0.000
Si1 Si 0.174 0.674 0.500
# Size of the total moment ... 0.00 μB per atom

---

It comes down to model 2, which is 58 meV/atom more stable than the next structure.

---

Model 1:
# VCd3Si (PBE-GGA, optimized geometry)
data_VCd3Si
_symmetry_space_group_name_H-M 'P m -3 m'
_symmetry_Int_Tables_number 221
_symmetry_space_group_name_Hall '-P 4 2 3'
_cell_length_a 5.231
_cell_length_b 5.231
_cell_length_c 5.231
_cell_angle_alpha 90.00
_cell_angle_beta 90.00
_cell_angle_gamma 90.00
loop_
_atom_site_label
_atom_site_type_symbol
_atom_site_fract_x
_atom_site_fract_y
_atom_site_fract_z
V1 V 0.000 0.000 0.000
Cd1 Cd 0.000 0.000 0.500
Si1 Si 0.500 0.500 0.500
# Size of the total moment ... 0.59 μB per atom

---

Model 2:
# VCd3Si (PBE-GGA, optimized geometry)
data_VCd3Si
_symmetry_space_group_name_H-M 'P m -3 m'
_symmetry_Int_Tables_number 221
_symmetry_space_group_name_Hall '-P 4 2 3'
_cell_length_a 5.059
_cell_length_b 5.059
_cell_length_c 5.059
_cell_angle_alpha 90.00
_cell_angle_beta 90.00
_cell_angle_gamma 90.00
loop_
_atom_site_label
_atom_site_type_symbol
_atom_site_fract_x
_atom_site_fract_y
_atom_site_fract_z
V1 V 0.000 0.000 0.000
Cd1 Cd 0.000 0.500 0.500
Si1 Si 0.500 0.500 0.500
# Size of the total moment ... 0.88 μB per atom

---

It comes down to model 2, which is 233 meV/atom more stable than the next structure.

---

Model 1:
# V3CdSi (PBE-GGA, optimized geometry)
data_V3CdSi
_symmetry_space_group_name_H-M 'P m -3 m'
_symmetry_Int_Tables_number 221
_symmetry_space_group_name_Hall '-P 4 2 3'
_cell_length_a 4.823
_cell_length_b 4.823
_cell_length_c 4.823
_cell_angle_alpha 90.00
_cell_angle_beta 90.00
_cell_angle_gamma 90.00
loop_
_atom_site_label
_atom_site_type_symbol
_atom_site_fract_x
_atom_site_fract_y
_atom_site_fract_z
V1 V 0.000 0.000 0.500
Cd1 Cd 0.000 0.000 0.000
Si1 Si 0.500 0.500 0.500
# Size of the total moment ... 1.18 μB per atom

---

Model 2:
# V3CdSi (PBE-GGA, optimized geometry)
data_V3CdSi
_symmetry_space_group_name_H-M 'P m -3 m'
_symmetry_Int_Tables_number 221
_symmetry_space_group_name_Hall '-P 4 2 3'
_cell_length_a 4.472
_cell_length_b 4.472
_cell_length_c 4.472
_cell_angle_alpha 90.00
_cell_angle_beta 90.00
_cell_angle_gamma 90.00
loop_
_atom_site_label
_atom_site_type_symbol
_atom_site_fract_x
_atom_site_fract_y
_atom_site_fract_z
V1 V 0.000 0.000 0.500
Cd1 Cd 0.500 0.500 0.500
Si1 Si 0.000 0.000 0.000
# Size of the total moment ... 0.62 μB per atom

---

It comes down to model 2, which is 1251 meV/atom more stable than the next structure.

---

Model 1:
# VCdSi2 (PBE-GGA, optimized geometry)
data_VCdSi2
_symmetry_space_group_name_H-M 'I -4 2 d'
_symmetry_Int_Tables_number 122
_symmetry_space_group_name_Hall 'I -4 2bw'
_cell_length_a 7.174
_cell_length_b 7.174
_cell_length_c 5.530
_cell_angle_alpha 90.00
_cell_angle_beta 90.00
_cell_angle_gamma 90.00
loop_
_atom_site_label
_atom_site_type_symbol
_atom_site_fract_x
_atom_site_fract_y
_atom_site_fract_z
V1 V 0.000 0.000 0.000
Cd1 Cd 0.000 0.000 0.500
Si1 Si 0.220 0.250 0.125
# Size of the total moment ... 0.19 μB per atom

---

Model 2:
# VCdSi2 (PBE-GGA, optimized geometry)
data_VCdSi2
_symmetry_space_group_name_H-M 'F m -3 m'
_symmetry_Int_Tables_number 225
_symmetry_space_group_name_Hall '-F 4 2 3'
_cell_length_a 6.452
_cell_length_b 6.452
_cell_length_c 6.452
_cell_angle_alpha 90.00
_cell_angle_beta 90.00
_cell_angle_gamma 90.00
loop_
_atom_site_label
_atom_site_type_symbol
_atom_site_fract_x
_atom_site_fract_y
_atom_site_fract_z
V1 V 0.000 0.000 0.000
Cd1 Cd 0.000 0.000 0.500
Si1 Si 0.250 0.250 0.250
# Size of the total moment ... 0.69 μB per atom

---

It comes down to model 2, which is 84 meV/atom more stable than the next structure.

---

Model 1:
# YCd2Si2 (PBE-GGA, optimized geometry)
data_YCd2Si2
_symmetry_space_group_name_H-M 'I 4/m m m'
_symmetry_Int_Tables_number 139
_symmetry_space_group_name_Hall '-I 4 2'
_cell_length_a 4.760
_cell_length_b 4.760
_cell_length_c 9.824
_cell_angle_alpha 90.00
_cell_angle_beta 90.00
_cell_angle_gamma 90.00
loop_
_atom_site_label
_atom_site_type_symbol
_atom_site_fract_x
_atom_site_fract_y
_atom_site_fract_z
Y1 Y 0.000 0.000 0.000
Cd1 Cd 0.000 0.000 0.365
Si1 Si 0.000 0.500 0.250
# Size of the total moment ... 0.00 μB per atom

---

Model 2:
# YCd2Si2 (PBE-GGA, optimized geometry)
data_YCd2Si2
_symmetry_space_group_name_H-M 'P 4/m b m'
_symmetry_Int_Tables_number 127
_symmetry_space_group_name_Hall '-P 4 2ab'
_cell_length_a 8.000
_cell_length_b 8.000
_cell_length_c 3.304
_cell_angle_alpha 90.00
_cell_angle_beta 90.00
_cell_angle_gamma 90.00
loop_
_atom_site_label
_atom_site_type_symbol
_atom_site_fract_x
_atom_site_fract_y
_atom_site_fract_z
Y1 Y 0.000 0.000 0.000
Cd1 Cd 0.123 0.377 0.000
Si1 Si 0.180 0.680 0.500
# Size of the total moment ... 0.00 μB per atom

---

Model 3:
# YCd2Si2 (PBE-GGA, optimized geometry)
data_YCd2Si2
_symmetry_space_group_name_H-M 'I 4/m m m'
_symmetry_Int_Tables_number 139
_symmetry_space_group_name_Hall '-I 4 2'
_cell_length_a 4.174
_cell_length_b 4.174
_cell_length_c 12.066
_cell_angle_alpha 90.00
_cell_angle_beta 90.00
_cell_angle_gamma 90.00
loop_
_atom_site_label
_atom_site_type_symbol
_atom_site_fract_x
_atom_site_fract_y
_atom_site_fract_z
Y1 Y 0.000 0.000 0.000
Cd1 Cd 0.000 0.500 0.250
Si1 Si 0.000 0.000 0.404
# Size of the total moment ... 0.00 μB per atom

---

It comes down to model 3, which is 256 meV/atom more stable than the next structure.

---

Model 1:
# Zn2CdSi (PBE-GGA, optimized geometry)
data_Zn2CdSi
_symmetry_space_group_name_H-M 'C 1 2/m 1'
_symmetry_Int_Tables_number 12
_symmetry_space_group_name_Hall '-C 2y'
_cell_length_a 10.006
_cell_length_b 2.690
_cell_length_c 5.512
_cell_angle_alpha 90.00
_cell_angle_beta 106.47
_cell_angle_gamma 90.00
loop_
_atom_site_label
_atom_site_type_symbol
_atom_site_fract_x
_atom_site_fract_y
_atom_site_fract_z
Zn1 Zn 0.243 0.000 0.235
Cd1 Cd 0.000 0.000 0.500
Si1 Si 0.000 0.500 0.000
# Size of the total moment ... 0.00 μB per atom

---

Model 2:
# Zn2CdSi (PBE-GGA, optimized geometry)
data_Zn2CdSi
_symmetry_space_group_name_H-M 'I -4 m 2'
_symmetry_Int_Tables_number 119
_symmetry_space_group_name_Hall 'I -4 -2'
_cell_length_a 4.088
_cell_length_b 4.088
_cell_length_c 8.329
_cell_angle_alpha 90.00
_cell_angle_beta 90.00
_cell_angle_gamma 90.00
loop_
_atom_site_label
_atom_site_type_symbol
_atom_site_fract_x
_atom_site_fract_y
_atom_site_fract_z
Zn1 Zn 0.000 0.000 0.000
Zn2 Zn 0.000 0.500 0.250
Cd1 Cd 0.000 0.500 0.750
Si1 Si 0.000 0.000 0.500
# Size of the total moment ... 0.00 μB per atom

---

It comes down to model 1, which is 21 meV/atom more stable than the next structure.